[1]
Entry from Alexandria: a relaxed TbGaSe3 crystal (PBE-GGA).

Lattice parameters (Å, degrees): 7.060 7.295 10.000 90.00 97.16 90.00
Positions (direct):
Se1 0.658 0.828 0.408
Tb1 0.564 0.131 0.219
Se2 0.157 0.947 0.196
Se3 0.657 0.553 0.696
Se4 0.343 0.447 0.304
Se5 0.842 0.328 0.092
Tb2 0.436 0.869 0.781
Ga1 0.355 0.663 0.119
Se6 0.648 0.801 0.068
Se7 0.342 0.172 0.592
Se8 0.352 0.199 0.932
Se9 0.843 0.053 0.804
Tb3 0.064 0.369 0.719
Se10 0.148 0.699 0.568
Ga2 0.645 0.337 0.881
Ga3 0.145 0.163 0.381
Tb4 0.936 0.631 0.281
Se11 0.852 0.301 0.432
Ga4 0.855 0.837 0.619
Se12 0.158 0.672 0.908

E_form (uncorrected) in eV per atom: -1.1228

[2]
Entry from Alexandria: a relaxed Tb3GaSe2 crystal (PBE-GGA).

Lattice parameters (Å, degrees): 5.840 8.237 12.427 90.00 90.00 89.99
Positions (direct):
Se1 0.250 0.878 0.417
Ga1 0.249 0.874 0.086
Se2 0.251 0.376 0.752
Ga2 0.751 0.126 0.914
Tb1 0.751 0.376 0.751
Se3 0.250 0.378 0.083
Se4 0.750 0.622 0.917
Tb2 0.751 0.876 0.749
Tb3 0.750 0.869 0.419
Se5 0.750 0.122 0.583
Tb4 0.750 0.369 0.081
Se6 0.749 0.124 0.252
Tb5 0.249 0.124 0.251
Tb6 0.749 0.375 0.417
Tb7 0.251 0.625 0.583
Tb8 0.250 0.131 0.581
Ga3 0.751 0.626 0.586
Se7 0.749 0.624 0.248
Tb9 0.251 0.125 0.917
Tb10 0.250 0.631 0.919
Ga4 0.249 0.374 0.414
Tb11 0.749 0.875 0.083
Se8 0.251 0.876 0.748
Tb12 0.249 0.624 0.249

E_form (uncorrected) in eV per atom: -1.4234
Relative energy among the computed polymorphs in meV per atom: 11.9

[3]
Entry from Alexandria: a relaxed TbGa2Se4 crystal (PBE-GGA).

Lattice parameters (Å, degrees): 6.317 6.317 6.317 105.52 105.52 117.71
Positions (direct):
Ga1 0.250 0.750 0.500
Se1 0.318 0.172 0.490
Tb1 0.500 0.500 0.000
Se2 0.682 0.828 0.510
Ga2 0.750 0.250 0.500
Se3 0.828 0.318 0.146
Se4 0.172 0.682 0.854

E_form (uncorrected) in eV per atom: -0.7470

[4]
Entry from Alexandria: a relaxed Tb5GaSe5 crystal (PBE-GGA).

Lattice parameters (Å, degrees): 5.806 7.154 8.230 106.81 90.00 113.94
Positions (direct):
Tb1 0.840 0.679 0.172
Se1 0.330 0.660 0.163
Se2 0.328 0.657 0.666
Tb2 0.500 0.000 0.000
Tb3 0.836 0.672 0.667
Se3 0.670 0.340 0.837
Tb4 0.160 0.321 0.828
Se4 0.000 0.000 0.500
Se5 0.672 0.343 0.334
Ga1 0.000 0.000 0.000
Tb5 0.164 0.328 0.333

E_form (uncorrected) in eV per atom: -1.6405

[5]
Entry from Alexandria: a relaxed Tb6GaSe8 crystal (PBE-GGA).

Lattice parameters (Å, degrees): 8.180 8.180 8.180 60.00 60.00 60.00
Positions (direct):
Se1 0.250 0.250 0.250
Tb1 0.500 0.500 0.000
Se2 0.253 0.253 0.747
Se3 0.747 0.253 0.747
Tb2 0.000 0.000 0.500
Tb3 0.000 0.500 0.500
Se4 0.747 0.253 0.253
Se5 0.253 0.747 0.253
Se6 0.750 0.750 0.750
Se7 0.253 0.747 0.747
Tb4 0.500 0.000 0.000
Ga1 0.000 0.000 0.000
Tb5 0.000 0.500 0.000
Tb6 0.500 0.000 0.500
Se8 0.747 0.747 0.253

E_form (uncorrected) in eV per atom: -1.6655

[6]
Entry from Alexandria: a relaxed Tb8Ga3Te4Se crystal (PBE-GGA).

Lattice parameters (Å, degrees): 8.416 8.722 8.416 118.85 120.00 90.00
Positions (direct):
Te1 0.500 0.000 0.000
Ga1 0.000 0.500 0.500
Te2 0.500 0.000 0.500
Tb1 0.756 0.273 0.512
Tb2 0.262 0.273 0.017
Tb3 0.244 0.727 0.488
Te3 0.000 0.000 0.000
Tb4 0.244 0.727 0.983
Ga2 0.500 0.500 0.000
Tb5 0.756 0.273 0.017
Ga3 0.500 0.500 0.500
Tb6 0.738 0.727 0.983
Tb7 0.256 0.267 0.511
Te4 0.000 0.000 0.500
Se1 0.000 0.500 0.000
Tb8 0.744 0.733 0.489

E_form (uncorrected) in eV per atom: -1.1330

[7]
Entry from Alexandria: a relaxed Tb4GaTe2Se crystal (PBE-GGA).

Lattice parameters (Å, degrees): 4.220 7.357 7.513 108.88 90.00 90.00
Positions (direct):
Te1 0.000 0.500 0.500
Tb1 0.500 0.249 0.223
Tb2 0.500 0.751 0.777
Se1 0.000 0.000 0.000
Tb3 0.000 0.265 0.775
Te2 0.500 0.000 0.500
Tb4 0.000 0.735 0.225
Ga1 0.500 0.500 0.000

E_form (uncorrected) in eV per atom: -1.3070

[8]
Entry from Alexandria: a relaxed Tb8Ga3Te3Se crystal (PBE-GGA).

Lattice parameters (Å, degrees): 8.349 8.349 8.629 118.93 90.00 120.00
Positions (direct):
Tb1 0.735 0.983 0.731
Tb2 0.752 0.017 0.269
Te1 0.000 0.500 0.000
Tb3 0.256 0.511 0.267
Se1 0.000 0.000 0.500
Te2 0.000 0.000 0.000
Te3 0.500 0.500 0.000
Ga1 0.500 0.000 0.500
Tb4 0.248 0.983 0.731
Tb5 0.248 0.496 0.731
Tb6 0.752 0.504 0.269
Tb7 0.265 0.017 0.269
Ga2 0.000 0.500 0.500
Tb8 0.744 0.489 0.733
Ga3 0.500 0.500 0.500

E_form (uncorrected) in eV per atom: -0.9555

[9]
Entry from Alexandria: a relaxed Tb8GaTe4Se3 crystal (PBE-GGA).

Lattice parameters (Å, degrees): 8.427 8.605 8.428 119.32 120.00 90.00
Positions (direct):
Tb1 0.739 0.718 0.479
Tb2 0.236 0.720 0.473
Se1 0.500 0.500 0.500
Tb3 0.253 0.280 0.016
Tb4 0.747 0.720 0.984
Tb5 0.764 0.280 0.016
Te1 0.000 0.000 0.000
Tb6 0.764 0.280 0.527
Tb7 0.236 0.720 0.984
Te2 0.500 0.000 0.000
Te3 0.000 0.000 0.500
Se2 0.500 0.500 0.000
Se3 0.000 0.500 0.500
Tb8 0.261 0.282 0.521
Te4 0.500 0.000 0.500
Ga1 0.000 0.500 0.000

E_form (uncorrected) in eV per atom: -1.4468

[10]
Entry from Alexandria: a relaxed TbThGaSe crystal (PBE-GGA).

Lattice parameters (Å, degrees): 4.213 4.213 7.342 73.33 73.33 60.00
Positions (direct):
Th1 0.998 0.998 0.007
Tb1 0.502 0.502 0.495
Ga1 0.248 0.248 0.256
Se1 0.753 0.753 0.742

E_form (uncorrected) in eV per atom: -1.0491

[11]
Entry from Alexandria: a relaxed TbTl2GaSe4 crystal (PBE-GGA).

Lattice parameters (Å, degrees): 8.550 8.550 8.574 120.07 120.07 90.80
Positions (direct):
Se1 0.239 0.260 0.040
Tl1 0.500 0.000 0.500
Ga1 0.000 0.000 0.000
Se2 0.753 0.293 0.523
Tb1 0.000 0.500 0.000
Se3 0.207 0.747 0.977
Tb2 0.000 0.500 0.500
Se4 0.247 0.707 0.477
Se5 0.240 0.261 0.460
Tl2 0.500 0.000 0.000
Se6 0.760 0.739 0.540
Tl3 0.500 0.500 0.000
Ga2 0.500 0.500 0.500
Tl4 0.000 0.000 0.500
Se7 0.793 0.253 0.023
Se8 0.761 0.740 0.960

E_form (uncorrected) in eV per atom: -0.8066

[12]
Entry from Alexandria: a relaxed TbTmGaSe crystal (PBE-GGA).

Lattice parameters (Å, degrees): 3.939 3.939 7.635 75.05 75.05 60.00
Positions (direct):
Se1 0.752 0.752 0.745
Tm1 0.499 0.499 0.504
Tb1 0.001 0.001 0.997
Ga1 0.249 0.249 0.254

E_form (uncorrected) in eV per atom: -1.1542

[13]
Entry from Alexandria: a relaxed GaTc2Se crystal (PBE-GGA).

Lattice parameters (Å, degrees): 4.356 4.356 4.356 60.00 60.00 60.00
Positions (direct):
Ga1 0.000 0.000 0.000
Tc1 0.250 0.250 0.250
Tc2 0.750 0.750 0.750
Se1 0.500 0.500 0.500

E_form (uncorrected) in eV per atom: 0.1321
Relative energy among the computed polymorphs in meV per atom: 0.0

[14]
Entry from Alexandria: a relaxed GaTcSe crystal (PBE-GGA).

Lattice parameters (Å, degrees): 3.071 3.071 5.615 90.00 90.00 90.00
Positions (direct):
Ga1 0.000 0.000 0.784
Se1 0.000 0.000 0.319
Tc1 0.500 0.500 0.066

E_form (uncorrected) in eV per atom: -0.1419
Relative energy among the computed polymorphs in meV per atom: 80.5

[15]
Entry from Alexandria: a relaxed GaTcSe crystal (PBE-GGA).

Lattice parameters (Å, degrees): 3.132 5.459 13.415 90.00 102.67 90.00
Positions (direct):
Ga1 0.899 0.003 0.901
Ga2 0.101 0.003 0.099
Tc1 0.257 0.833 0.753
Se1 0.636 0.991 0.624
Tc2 0.743 0.833 0.247
Se2 0.364 0.491 0.876
Ga3 0.899 0.503 0.401
Tc3 0.257 0.333 0.253
Se3 0.636 0.491 0.124
Se4 0.364 0.991 0.376
Ga4 0.101 0.503 0.599
Tc4 0.743 0.333 0.747

E_form (uncorrected) in eV per atom: -0.2224
Relative energy among the computed polymorphs in meV per atom: 0.0

[16]
Entry from Alexandria: a relaxed GaTc3Se crystal (PBE-GGA).

Lattice parameters (Å, degrees): 4.537 4.537 4.537 90.00 90.00 90.00
Last column: magnetic moment on the atom in μB.
Positions (direct):
Tc1 0.500 0.000 0.000  0.60
Se1 0.000 0.000 0.000  -0.03
Tc2 0.000 0.500 0.000  0.57
Ga1 0.500 0.500 0.500  -0.05
Tc3 0.000 0.000 0.500  0.59

E_form (uncorrected) in eV per atom: 1.0225
Relative energy among the computed polymorphs in meV per atom: 0.0

[17]
Entry from Alexandria: a relaxed Ga2TcSe crystal (PBE-GGA).

Lattice parameters (Å, degrees): 6.031 6.031 6.923 64.18 64.18 90.00
Last column: magnetic moment on the atom in μB.
Positions (direct):
Ga1 0.638 0.125 0.250  -0.03
Ga2 0.375 0.362 0.750  -0.03
Ga3 0.875 0.888 0.750  -0.03
Se1 0.500 0.500 0.000  0.03
Se2 0.250 0.750 0.500  0.03
Tc1 0.000 0.000 0.000  1.24
Ga4 0.112 0.625 0.250  -0.03
Tc2 0.750 0.250 0.500  1.24

E_form (uncorrected) in eV per atom: 0.5196
Relative energy among the computed polymorphs in meV per atom: 68.2

[18]
Entry from Alexandria: a relaxed GaTcSe crystal (PBE-GGA).

Lattice parameters (Å, degrees): 8.357 3.057 10.959 90.00 129.13 90.00
Positions (direct):
Tc1 0.531 0.000 0.144
Se1 0.265 0.000 0.408
Tc2 0.469 0.500 0.356
Ga1 0.809 0.500 0.391
Tc3 0.469 0.000 0.856
Tc4 0.531 0.500 0.644
Ga2 0.191 0.000 0.109
Se2 0.265 0.500 0.908
Ga3 0.191 0.500 0.609
Se3 0.735 0.500 0.092
Ga4 0.809 0.000 0.891
Se4 0.735 0.000 0.592

E_form (uncorrected) in eV per atom: -0.1360
Relative energy among the computed polymorphs in meV per atom: 86.4

[19]
Entry from Alexandria: a relaxed GaTcSe crystal (PBE-GGA).

Lattice parameters (Å, degrees): 3.368 3.368 5.752 90.00 90.00 120.00
Positions (direct):
Se1 0.333 0.667 0.328
Tc1 0.000 0.000 0.067
Ga1 0.333 0.667 0.774

E_form (uncorrected) in eV per atom: -0.1649
Relative energy among the computed polymorphs in meV per atom: 57.5

[20]
Entry from Alexandria: a relaxed GaTcSe crystal (PBE-GGA).

Lattice parameters (Å, degrees): 6.127 3.125 6.434 90.00 115.80 90.00
Positions (direct):
Tc1 0.324 0.500 0.072
Ga1 0.069 0.000 0.192
Se1 0.667 0.000 0.210
Ga2 0.872 0.500 0.760
Tc2 0.513 0.000 0.503
Se2 0.296 0.500 0.657

E_form (uncorrected) in eV per atom: -0.1481
Relative energy among the computed polymorphs in meV per atom: 74.4

no.,density (g/cm3),E (eV for the cell shown)
1,6.05,-94.90
2,7.83,-129.71
3,5.34,-29.85
4,7.06,-61.65
5,7.10,-83.67
6,7.74,-80.30
7,7.82,-41.77
8,7.46,-73.36
9,7.94,-86.24
10,8.42,-22.76
11,7.21,-65.56
12,8.08,-20.23
13,9.79,-26.72
14,7.74,-17.30
15,7.32,-70.18
16,7.87,-32.50
17,5.30,-35.65
18,7.55,-69.14
19,7.25,-17.37
20,7.39,-34.64